No. 1
Here is CaCd3Si at its PBEsol-relaxed geometry from Alexandria. Energies are from SCAN.

Summary:
Crystal system: cubic
Spin magnetization (μB/f.u.): 0.000
Total energy (eV per cell): -109.8
N(E_F) (states/eV/f.u.): 2.5

Cell lengths 5.0916, 5.0916, 5.0916 Å; angles 90.00, 90.00, 90.00 degrees
Positions (direct):
Cd 0.0000 0.5000 0.0000
Cd 0.5000 0.0000 0.0000
Cd 0.0000 0.0000 0.5000
Ca 0.5000 0.5000 0.5000
Si 0.0000 0.0000 0.0000



No. 2
Here is Ca2Cd2Sn at its PBEsol-relaxed geometry from Alexandria. Energies are from SCAN.

Summary:
Crystal system: tetragonal
Spin magnetization (μB/f.u.): 0.000
Energy of formation (eV per atom): -0.324
Total energy (eV per cell): -117.7
N(E_F) (states/eV/f.u.): 3.5

Cell lengths 3.9330, 3.9330, 9.6611 Å; angles 101.74, 101.74, 90.00 degrees
Positions (direct):
Sn 0.0000 0.0000 0.0000
Cd 0.2500 0.7500 0.5000
Cd 0.7500 0.2500 0.5000
Ca 0.5985 0.5985 0.1970
Ca 0.4015 0.4015 0.8030



No. 3
Here is Ca2CdSn at its PBEsol-relaxed geometry from Alexandria. Energies are from SCAN.

Summary:
Crystal system: cubic
Spin magnetization (μB/f.u.): 0.000
Energy of formation (eV per atom): -0.633
Total energy (eV per cell): -88.2
N(E_F) (states/eV/f.u.): 1.0

Cell lengths 5.3281, 5.3281, 5.3281 Å; angles 60.00, 60.00, 60.00 degrees
Positions (direct):
Ca 0.7500 0.7500 0.7500
Ca 0.2500 0.2500 0.2500
Sn 0.5000 0.5000 0.5000
Cd 0.0000 0.0000 0.0000



No. 4
Here is SrCaCd2 at its PBEsol-relaxed geometry from Alexandria. Energies are from SCAN.

Summary:
Crystal system: tetragonal
Spin magnetization (μB/f.u.): 0.031
Energy of formation (eV per atom): -0.240
Total energy (eV per cell): -93.7
N(E_F) (states/eV/f.u.): 1.6

Cell lengths 3.8703, 3.8703, 8.1980 Å; angles 90.00, 90.00, 90.00 degrees
Positions (direct):
Ca 0.5000 0.5000 0.8156
Cd 0.5000 0.5000 0.2098
Cd 0.0000 0.0000 0.0262
Sr 0.0000 0.0000 0.4485



No. 5
Here is SrCa2Cd at its PBEsol-relaxed geometry from Alexandria. Energies are from SCAN.

Summary:
Crystal system: tetragonal
Spin magnetization (μB/f.u.): 0.047
Energy of formation (eV per atom): -0.210
Total energy (eV per cell): -72.9
N(E_F) (states/eV/f.u.): 3.4

Cell lengths 3.9237, 3.9237, 9.3590 Å; angles 90.00, 90.00, 90.00 degrees
Positions (direct):
Sr 0.5000 0.5000 0.3009
Ca 0.0000 0.0000 0.9826
Ca 0.5000 0.5000 0.6978
Cd 0.0000 0.0000 0.5187



No. 6
Here is Sr2CaCd2 at its PBEsol-relaxed geometry from Alexandria. Energies are from SCAN.

Summary:
Crystal system: tetragonal
Spin magnetization (μB/f.u.): 0.049
Energy of formation (eV per atom): -0.330
Total energy (eV per cell): -233.4
N(E_F) (states/eV/f.u.): 4.1

Cell lengths 4.6946, 8.5917, 8.5917 Å; angles 90.00, 90.00, 90.00 degrees
Positions (direct):
Cd 0.0000 0.1261 0.3739
Cd 0.0000 0.3739 0.8739
Cd 0.0000 0.6261 0.1261
Cd 0.0000 0.8739 0.6261
Ca 0.0000 0.0000 0.0000
Ca 0.0000 0.5000 0.5000
Sr 0.5000 0.1679 0.6679
Sr 0.5000 0.8321 0.3321
Sr 0.5000 0.3321 0.1679
Sr 0.5000 0.6679 0.8321



No. 7
Here is SrCaCd4 at its PBEsol-relaxed geometry from Alexandria. Energies are from SCAN.

Summary:
Crystal system: cubic
Spin magnetization (μB/f.u.): 0.000
Energy of formation (eV per atom): -0.386
Total energy (eV per cell): -155.9
N(E_F) (states/eV/f.u.): 2.7

Cell lengths 5.9850, 5.9850, 5.9850 Å; angles 60.00, 60.00, 60.00 degrees
Positions (direct):
Cd 0.3748 0.8755 0.3748
Cd 0.8755 0.3748 0.3748
Cd 0.3748 0.3748 0.3748
Cd 0.3748 0.3748 0.8755
Ca 0.0000 0.0000 0.0000
Sr 0.7500 0.7500 0.7500



No. 8
Here is SrCaCd2 at its PBEsol-relaxed geometry from Alexandria. Energies are from SCAN.

Summary:
Crystal system: monoclinic
Spin magnetization (μB/f.u.): 0.000
Energy of formation (eV per atom): -0.315
Total energy (eV per cell): -94.0
N(E_F) (states/eV/f.u.): 2.3

Cell lengths 3.7168, 5.5999, 6.2892 Å; angles 109.36, 107.19, 90.00 degrees
Positions (direct):
Cd 0.7226 0.2574 0.4452
Cd 0.0258 0.9874 0.0515
Sr 0.4770 0.4534 0.9541
Ca 0.2746 0.8018 0.5492



No. 9
Here is SrCaCd2 at its PBEsol-relaxed geometry from Alexandria. Energies are from SCAN.

Summary:
Crystal system: orthorhombic
Spin magnetization (μB/f.u.): 0.000
Energy of formation (eV per atom): -0.314
Total energy (eV per cell): -94.0
N(E_F) (states/eV/f.u.): 2.5

Cell lengths 3.8050, 5.5078, 6.5229 Å; angles 114.97, 106.96, 90.00 degrees
Positions (direct):
Cd 0.9752 0.9752 0.9504
Cd 0.2787 0.7787 0.5574
Sr 0.5215 0.5215 0.0430
Ca 0.7246 0.2246 0.4491



No. 10
Here is SrCa2Cd at its PBEsol-relaxed geometry from Alexandria. Energies are from SCAN.

Summary:
Crystal system: tetragonal
Spin magnetization (μB/f.u.): 0.000
Energy of formation (eV per atom): -0.105
Total energy (eV per cell): -72.4
N(E_F) (states/eV/f.u.): 5.7

Cell lengths 4.9931, 4.9934, 5.5557 Å; angles 90.00, 90.00, 89.95 degrees
Positions (direct):
Cd 0.0000 0.0000 0.5000
Ca 0.5000 0.0000 0.0000
Ca 0.0000 0.5000 0.0000
Sr 0.5000 0.5000 0.5000



No. 11
Here is SrCaCd at its PBEsol-relaxed geometry from Alexandria. Energies are from SCAN.

Summary:
Crystal system: tetragonal
Spin magnetization (μB/f.u.): 0.057
Energy of formation (eV per atom): -0.288
Total energy (eV per cell): -63.2
N(E_F) (states/eV/f.u.): 2.1

Cell lengths 3.9080, 3.9080, 7.3062 Å; angles 105.51, 105.51, 90.00 degrees
Positions (direct):
Ca 0.9679 0.9679 0.9358
Cd 0.3416 0.3416 0.6831
Sr 0.6905 0.6905 0.3810



No. 12
Here is Sr2CaCd at its PBEsol-relaxed geometry from Alexandria. Energies are from SCAN.

Summary:
Crystal system: orthorhombic
Spin magnetization (μB/f.u.): 0.411
Energy of formation (eV per atom): -0.170
Total energy (eV per cell): -85.3
N(E_F) (states/eV/f.u.): 3.7

Cell lengths 4.0720, 6.0917, 7.2265 Å; angles 114.92, 106.36, 90.00 degrees
Positions (direct):
Ca 0.5475 0.5476 0.0950
Sr 0.9567 0.9568 0.9134
Sr 0.7526 0.2526 0.5052
Cd 0.2432 0.7430 0.4864



No. 13
Here is SrCa2Cd at its PBEsol-relaxed geometry from Alexandria. Energies are from SCAN.

Summary:
Crystal system: orthorhombic
Spin magnetization (μB/f.u.): 0.280
Energy of formation (eV per atom): -0.192
Total energy (eV per cell): -72.8
N(E_F) (states/eV/f.u.): 3.6

Cell lengths 3.9324, 6.0018, 7.0824 Å; angles 115.07, 106.12, 90.00 degrees
Positions (direct):
Cd 0.5000 0.0000 0.0000
Sr 0.0000 0.5000 0.0000
Ca 0.2061 0.2061 0.4122
Ca 0.7939 0.7939 0.5878



No. 14
Here is SrCa2Cd at its PBEsol-relaxed geometry from Alexandria. Energies are from SCAN.

Summary:
Crystal system: tetragonal
Spin magnetization (μB/f.u.): 0.000
Energy of formation (eV per atom): -0.202
Total energy (eV per cell): -72.8
N(E_F) (states/eV/f.u.): 3.3

Cell lengths 3.8954, 3.8954, 9.5229 Å; angles 90.00, 90.00, 90.00 degrees
Positions (direct):
Cd 0.5000 0.5000 0.0000
Ca 0.0000 0.0000 0.1861
Ca 0.0000 0.0000 0.8139
Sr 0.5000 0.5000 0.5000



No. 15
Here is Sr2CaCd at its PBEsol-relaxed geometry from Alexandria. Energies are from SCAN.

Summary:
Crystal system: tetragonal
Spin magnetization (μB/f.u.): 0.058
Energy of formation (eV per atom): -0.204
Total energy (eV per cell): -85.4
N(E_F) (states/eV/f.u.): 3.1

Cell lengths 3.9838, 3.9838, 9.7570 Å; angles 90.00, 90.00, 90.00 degrees
Positions (direct):
Sr 0.0000 0.0000 0.9380
Sr 0.5000 0.5000 0.2673
Cd 0.5000 0.5000 0.7316
Ca 0.0000 0.0000 0.5631



No. 16
Here is Sr2CaCd at its PBEsol-relaxed geometry from Alexandria. Energies are from SCAN.

Summary:
Crystal system: tetragonal
Spin magnetization (μB/f.u.): 0.248
Energy of formation (eV per atom): -0.201
Total energy (eV per cell): -85.4
N(E_F) (states/eV/f.u.): 3.5

Cell lengths 4.0027, 4.0027, 9.6469 Å; angles 90.00, 90.00, 90.00 degrees
Positions (direct):
Ca 0.5000 0.5000 0.0000
Cd 0.5000 0.5000 0.5000
Sr 0.0000 0.0000 0.6996
Sr 0.0000 0.0000 0.3004



No. 17
Here is SrCaCd2 at its PBEsol-relaxed geometry from Alexandria. Energies are from SCAN.

Summary:
Crystal system: tetragonal
Spin magnetization (μB/f.u.): 0.000
Energy of formation (eV per atom): -0.401
Total energy (eV per cell): -94.4
N(E_F) (states/eV/f.u.): 2.3

Cell lengths 3.8592, 5.4826, 5.4826 Å; angles 90.05, 90.00, 90.00 degrees
Positions (direct):
Sr 0.5000 0.0000 0.0000
Ca 0.5000 0.5000 0.5000
Cd 0.0000 0.5000 0.0000
Cd 0.0000 0.0000 0.5000



No. 18
Here is SrCa2Cd at its PBEsol-relaxed geometry from Alexandria. Energies are from SCAN.

Summary:
Crystal system: orthorhombic
Spin magnetization (μB/f.u.): 0.543
Energy of formation (eV per atom): -0.133
Total energy (eV per cell): -72.5
N(E_F) (states/eV/f.u.): 4.0

Cell lengths 4.0581, 5.9222, 6.9807 Å; angles 115.10, 106.90, 90.00 degrees
Positions (direct):
Sr 0.2129 0.7129 0.4258
Cd 0.4929 0.4929 0.9857
Ca 0.0031 0.0031 0.0062
Ca 0.7912 0.2912 0.5823



No. 19
Here is CaTaCd at its PBEsol-relaxed geometry from Alexandria. Energies are from SCAN.

Summary:
Crystal system: orthorhombic
Spin magnetization (μB/f.u.): 0.000
Energy of formation (eV per atom): 0.552
Total energy (eV per cell): -105.0
N(E_F) (states/eV/f.u.): 2.4

Cell lengths 2.9190, 4.1360, 6.1833 Å; angles 109.54, 103.65, 90.00 degrees
Positions (direct):
Ta 0.3093 0.3093 0.6186
Cd 0.6855 0.6855 0.3711
Ca 0.0052 0.0052 0.0104



No. 20
Here is Ca2Ta2Cd at its PBEsol-relaxed geometry from Alexandria. Energies are from SCAN.

Summary:
Crystal system: tetragonal
Spin magnetization (μB/f.u.): 0.000
Energy of formation (eV per atom): 1.106
Total energy (eV per cell): -177.4
N(E_F) (states/eV/f.u.): 1.8

Cell lengths 4.1471, 4.1471, 7.7186 Å; angles 105.58, 105.58, 90.00 degrees
Positions (direct):
Cd 0.0000 0.0000 0.0000
Ca 0.2500 0.7500 0.5000
Ca 0.7500 0.2500 0.5000
Ta 0.5789 0.5789 0.1578
Ta 0.4211 0.4211 0.8422